# 1
DFT (PBE-GGA) results for a relaxed structure of Cs4InHg2Sb2.

```
Cs4InHg2Sb2
1.0
6.3086 0.2210 0.1503
1.7533 9.3571 0.4545
1.7533 3.8584 8.5367
Sb Hg In Cs
2 2 1 4
direct
0.7021 0.8357 0.8357 Sb
0.2979 0.1643 0.1643 Sb
0.6665 0.4107 0.4107 Hg
0.3335 0.5893 0.5893 Hg
0.5000 0.0000 0.0000 In
0.8134 0.9005 0.3907 Cs
0.1866 0.0995 0.6093 Cs
0.1866 0.6093 0.0995 Cs
0.8134 0.3907 0.9005 Cs
```

Summary:
crystal system	monoclinic
total moment	0.0	μB per formula unit
uncorrected energy	-1.943	eV/atom
SG	C2/m (12)


# 2
DFT (PBE-GGA) results for a relaxed structure of InAsRuBr2.

```
InAsRuBr2
1.0
5.4237 0.0000 0.0000
0.0000 5.4237 0.0000
0.0000 0.0000 5.3652
Br In Ru As
2 1 1 1
direct
0.5000 0.0000 0.0000 Br
0.0000 0.5000 0.0000 Br
0.0000 0.0000 0.0000 In
0.5000 0.5000 0.5000 Ru
0.0000 0.0000 0.5000 As
```

Summary:
crystal system	tetragonal
total moment	4.4	μB per formula unit
E above lowest polymorph	949	meV per atom
SG	P4/mmm (123)